Rb3BO3 | PBE-GGA | optimized geometry

```
14
Lattice="8.247 0.000 0.000 0.000 5.495 0.000 -4.118 0.000 7.147" Properties=species:S:1:pos:R:3 pbc="T T T"
Rb -0.166 1.374 1.372
Rb -1.099 1.374 6.317
Rb 0.793 4.121 4.115
Rb 3.336 1.374 3.032
Rb 5.229 4.121 0.830
Rb 4.296 4.121 5.776
B 2.062 4.121 1.191
B 2.067 1.374 5.956
O 0.663 4.121 1.372
O -1.513 4.121 7.037
O 1.211 1.374 4.835
O 2.918 4.121 2.312
O 5.643 1.374 0.110
O 3.466 1.374 5.775
```

Values from the calculation:
SG = P2_1/m
E_form (uncorrected) = -1.842 eV per atom
Calculated total energy = -0.39216 Ry/atom